1.
SmNi2BiO6: relaxed, PBE with a Hubbard U.

abc: 5.481 5.481 5.781
angles: 61.71 61.71 60.00
Last column: magnetic moment on the atom in μB.
Sites, in units of the cell vectors:
O: 0.903 0.623 0.236  0.06
O: 0.156 0.368 0.749  0.07
O: 0.368 0.727 0.749  0.07
O: 0.623 0.238 0.236  0.06
O: 0.727 0.156 0.749  0.07
O: 0.238 0.904 0.236  0.06
Sm: 0.798 0.798 0.606  0.00
Ni: 0.015 0.015 0.954  1.78
Ni: 0.519 0.519 0.443  1.77
Bi: 0.314 0.314 0.059  0.01

Properties
Volume in Å³/atom: 12.589

2.
NiSnBi2O6: relaxed, PBE with a Hubbard U.

abc: 5.553 5.899 7.968
angles: 90.00 89.56 90.00
Last column: magnetic moment on the atom in μB.
Sites, in units of the cell vectors:
O: 0.681 0.304 0.553  0.03
O: 0.113 0.462 0.749  0.03
O: 0.185 0.186 0.452  0.03
O: 0.815 0.814 0.548  0.03
O: 0.387 0.962 0.751  0.03
O: 0.685 0.314 0.952  0.03
O: 0.319 0.696 0.447  0.03
O: 0.613 0.038 0.249  0.03
O: 0.315 0.686 0.048  0.03
O: 0.887 0.538 0.251  0.03
O: 0.819 0.804 0.947  0.03
O: 0.181 0.196 0.053  0.03
Bi: 0.511 0.553 0.751  0.00
Bi: 0.489 0.447 0.249  0.00
Bi: 0.011 0.947 0.251  0.00
Bi: 0.989 0.053 0.749  0.00
Ni: 0.500 0.000 0.000  1.78
Ni: 0.000 0.500 0.500  1.78
Sn: 0.500 0.000 0.500  0.02
Sn: 0.000 0.500 0.000  0.02

Properties
Volume in Å³/atom: 13.049

3.
Sr5Ni2BiO10: relaxed, PBE with a Hubbard U.

abc: 9.843 9.843 9.843
angles: 148.52 148.52 45.12
Last column: magnetic moment on the atom in μB.
Sites, in units of the cell vectors:
O: 0.000 0.500 0.500  -0.03
O: 0.000 0.000 0.500  -0.19
O: 0.621 0.621 0.000  -0.18
O: 0.379 0.379 0.000  -0.18
O: 0.868 0.868 0.000  -0.09
O: 0.000 0.500 0.000  -0.19
O: 0.500 0.000 0.000  -0.19
O: 0.500 0.500 0.500  -0.19
O: 0.500 0.000 0.500  -0.03
O: 0.132 0.132 0.000  -0.09
Sr: 0.150 0.650 0.500  0.00
Sr: 0.650 0.150 0.500  0.00
Sr: 0.850 0.350 0.500  0.00
Sr: 0.000 0.000 0.000  0.00
Sr: 0.350 0.850 0.500  0.00
Ni: 0.243 0.243 0.000  1.33
Ni: 0.757 0.757 0.000  1.33
Bi: 0.500 0.500 0.000  -0.05

Properties
Volume in Å³/atom: 14.404

4.
TbNi2BiO6: relaxed, PBE with a Hubbard U.

abc: 5.445 5.445 5.775
angles: 61.87 61.88 60.00
Last column: magnetic moment on the atom in μB.
Sites, in units of the cell vectors:
O: 0.233 0.905 0.240  0.06
O: 0.145 0.379 0.750  0.07
O: 0.379 0.726 0.750  0.07
O: 0.726 0.145 0.750  0.07
O: 0.905 0.622 0.240  0.06
O: 0.622 0.233 0.240  0.06
Tb: 0.803 0.803 0.592  0.01
Bi: 0.314 0.314 0.058  0.00
Ni: 0.519 0.519 0.444  1.77
Ni: 0.016 0.016 0.952  1.78

Properties
Volume in Å³/atom: 12.439

5.
TcNiBi2O6: relaxed, PBE with a Hubbard U.

abc: 5.508 5.808 7.889
angles: 90.00 90.05 90.00
Last column: magnetic moment on the atom in μB.
Sites, in units of the cell vectors:
Bi: 0.989 0.057 0.745  0.04
Bi: 0.489 0.443 0.245  0.04
Bi: 0.011 0.943 0.255  0.04
Bi: 0.511 0.557 0.755  0.04
O: 0.813 0.796 0.946  0.11
O: 0.811 0.814 0.543  0.10
O: 0.689 0.314 0.957  0.10
O: 0.189 0.186 0.457  0.10
O: 0.313 0.704 0.446  0.11
O: 0.893 0.534 0.247  0.08
O: 0.187 0.204 0.054  0.11
O: 0.107 0.466 0.753  0.08
O: 0.393 0.966 0.747  0.08
O: 0.311 0.686 0.043  0.10
O: 0.687 0.296 0.554  0.11
O: 0.607 0.034 0.253  0.08
Tc: 0.000 0.500 0.000  2.28
Tc: 0.500 0.000 0.500  2.28
Ni: 0.500 0.000 0.000  1.79
Ni: 0.000 0.500 0.500  1.79

Properties
Volume in Å³/atom: 12.617

6.
NiBiTeO5: relaxed, PBE with a Hubbard U.

abc: 5.972 5.972 7.518
angles: 92.84 92.84 119.96
Last column: magnetic moment on the atom in μB.
Sites, in units of the cell vectors:
O: 0.494 0.243 0.005  0.29
O: 0.243 0.494 0.505  0.29
O: 0.123 0.877 0.250  0.11
O: 0.506 0.757 0.995  0.29
O: 0.757 0.506 0.495  0.29
O: 0.642 0.997 0.337  0.07
O: 0.358 0.003 0.663  0.07
O: 0.997 0.642 0.837  0.07
O: 0.003 0.358 0.163  0.07
O: 0.877 0.123 0.750  0.11
Bi: 0.000 0.000 0.500  0.03
Bi: 0.000 0.000 0.000  0.03
Ni: 0.314 0.686 0.250  1.77
Ni: 0.686 0.314 0.750  1.77
Te: 0.314 0.686 0.750  0.12
Te: 0.686 0.314 0.250  0.12

Properties
Volume in Å³/atom: 14.447

7.
NiBi2TeO6: relaxed, PBE with a Hubbard U.

abc: 5.597 6.058 8.106
angles: 90.00 89.82 90.00
Last column: magnetic moment on the atom in μB.
Sites, in units of the cell vectors:
O: 0.623 0.047 0.243  0.03
O: 0.826 0.822 0.956  0.03
O: 0.326 0.678 0.456  0.03
O: 0.174 0.178 0.044  0.03
O: 0.877 0.547 0.257  0.03
O: 0.377 0.953 0.757  0.03
O: 0.681 0.304 0.933  0.03
O: 0.319 0.696 0.067  0.03
O: 0.819 0.804 0.567  0.03
O: 0.123 0.453 0.743  0.03
O: 0.674 0.322 0.544  0.03
O: 0.181 0.196 0.433  0.03
Bi: 0.488 0.449 0.261  0.00
Bi: 0.512 0.551 0.739  0.00
Bi: 0.012 0.949 0.239  0.00
Bi: 0.988 0.051 0.761  0.00
Ni: 0.000 0.500 0.500  1.76
Ni: 0.500 0.000 0.000  1.76
Te: 0.000 0.500 0.000  0.03
Te: 0.500 0.000 0.500  0.03

Properties
Volume in Å³/atom: 13.744

8.
TiNiBi2O6: relaxed, PBE with a Hubbard U.

abc: 5.467 5.728 7.836
angles: 90.00 89.51 90.00
Last column: magnetic moment on the atom in μB.
Sites, in units of the cell vectors:
O: 0.702 0.311 0.954  0.03
O: 0.202 0.189 0.454  0.03
O: 0.099 0.469 0.756  0.03
O: 0.599 0.031 0.256  0.03
O: 0.185 0.208 0.050  0.03
O: 0.298 0.689 0.046  0.03
O: 0.685 0.292 0.550  0.03
O: 0.798 0.811 0.546  0.03
O: 0.315 0.708 0.450  0.03
O: 0.901 0.531 0.244  0.03
O: 0.815 0.792 0.950  0.03
O: 0.401 0.969 0.744  0.03
Bi: 0.490 0.445 0.249  0.00
Bi: 0.990 0.055 0.749  0.00
Bi: 0.510 0.555 0.751  0.00
Bi: 0.010 0.945 0.251  0.00
Ti: 0.000 0.500 0.000  0.05
Ti: 0.500 0.000 0.500  0.05
Ni: 0.500 0.000 0.000  1.77
Ni: 0.000 0.500 0.500  1.77

Properties
Volume in Å³/atom: 12.269

9.
Tl2Ni2BiO6: relaxed, PBE with a Hubbard U.

abc: 5.512 5.512 6.538
angles: 99.28 99.28 119.67
Last column: magnetic moment on the atom in μB.
Sites, in units of the cell vectors:
O: 0.726 0.726 0.675  -0.05
O: 0.060 0.404 0.676  -0.01
O: 0.404 0.060 0.676  -0.01
O: 0.940 0.596 0.324  -0.01
O: 0.596 0.940 0.324  -0.01
O: 0.274 0.274 0.325  -0.05
Ni: 0.334 0.666 0.500  1.71
Ni: 0.666 0.334 0.500  1.71
Tl: 0.172 0.828 0.000  -0.07
Tl: 0.828 0.172 0.000  -0.07
Bi: 0.000 0.000 0.500  0.00

Properties
Volume in Å³/atom: 14.860

10.
TlNiBi2O6: relaxed, PBE with a Hubbard U.

abc: 5.763 5.763 6.031
angles: 61.46 61.46 60.00
Last column: magnetic moment on the atom in μB.
Sites, in units of the cell vectors:
Ni: 0.816 0.816 0.551  1.78
Bi: 0.029 0.029 0.912  0.02
Bi: 0.518 0.518 0.446  0.09
O: 0.187 0.922 0.262  0.14
O: 0.103 0.461 0.743  0.12
O: 0.922 0.628 0.262  0.14
O: 0.461 0.693 0.743  0.12
O: 0.693 0.103 0.743  0.12
O: 0.628 0.187 0.262  0.14
Tl: 0.303 0.303 0.090  0.01

Properties
Volume in Å³/atom: 14.467

11.
UNiBi2O8: relaxed, PBE with a Hubbard U.

abc: 5.046 5.046 6.832
angles: 89.96 90.04 90.69
Last column: magnetic moment on the atom in μB.
Sites, in units of the cell vectors:
O: 0.182 0.818 0.235  0.02
O: 0.302 0.302 0.000  0.01
O: 0.290 0.290 0.500  0.03
O: 0.698 0.698 0.000  0.01
O: 0.710 0.710 0.500  0.03
O: 0.818 0.182 0.765  0.02
O: 0.818 0.182 0.235  0.02
O: 0.182 0.818 0.765  0.02
U: 0.000 0.000 0.000  0.04
Bi: 0.500 0.500 0.738  0.01
Bi: 0.500 0.500 0.262  0.01
Ni: 0.000 0.000 0.500  1.78

Properties
Volume in Å³/atom: 14.496

12.
VNiBi2O6: relaxed, PBE with a Hubbard U.

abc: 5.513 5.733 7.715
angles: 90.00 89.48 90.00
Last column: magnetic moment on the atom in μB.
Sites, in units of the cell vectors:
O: 0.803 0.787 0.943  0.03
O: 0.204 0.196 0.452  0.02
O: 0.904 0.528 0.237  -0.01
O: 0.697 0.287 0.557  0.03
O: 0.197 0.213 0.057  0.03
O: 0.404 0.972 0.737  -0.01
O: 0.296 0.696 0.048  0.02
O: 0.303 0.713 0.443  0.03
O: 0.596 0.028 0.263  -0.01
O: 0.704 0.304 0.952  0.02
O: 0.796 0.804 0.548  0.02
O: 0.096 0.472 0.763  -0.01
Bi: 0.520 0.552 0.754  0.01
Bi: 0.020 0.948 0.254  0.01
Bi: 0.980 0.052 0.746  0.01
Bi: 0.480 0.448 0.246  0.01
V: 0.500 0.000 0.500  1.10
V: 0.000 0.500 0.000  1.10
Ni: 0.000 0.500 0.500  1.77
Ni: 0.500 0.000 0.000  1.77

Properties
Volume in Å³/atom: 12.192

13.
V2NiBiO8: relaxed, PBE with a Hubbard U.

abc: 5.753 5.753 6.045
angles: 90.00 90.00 120.00
Last column: magnetic moment on the atom in μB.
Sites, in units of the cell vectors:
O: 0.667 0.333 0.931  0.03
O: 0.319 0.159 0.278  0.08
O: 0.160 0.319 0.722  0.08
O: 0.840 0.681 0.278  0.08
O: 0.841 0.160 0.278  0.08
O: 0.333 0.667 0.069  0.03
O: 0.681 0.841 0.722  0.08
O: 0.159 0.840 0.722  0.08
Bi: 0.000 0.000 0.000  0.04
Ni: 0.000 0.000 0.500  1.80
V: 0.667 0.333 0.202  0.04
V: 0.333 0.667 0.798  0.04

Properties
Volume in Å³/atom: 14.442

14.
YNiBi2O6: relaxed, PBE with a Hubbard U.

abc: 5.756 5.757 6.032
angles: 61.50 61.50 60.02
Last column: magnetic moment on the atom in μB.
Sites, in units of the cell vectors:
O: 0.120 0.426 0.765  0.16
O: 0.186 0.962 0.248  0.11
O: 0.426 0.690 0.764  0.16
O: 0.690 0.120 0.764  0.16
O: 0.962 0.604 0.248  0.11
O: 0.604 0.185 0.248  0.11
Ni: 0.318 0.318 0.047  1.79
Bi: 0.530 0.530 0.409  0.01
Bi: 0.019 0.019 0.942  0.11
Y: 0.807 0.807 0.580  0.03

Properties
Volume in Å³/atom: 14.448

15.
YNi2BiO6: relaxed, PBE with a Hubbard U.

abc: 5.440 5.440 5.775
angles: 61.90 61.90 60.00
Last column: magnetic moment on the atom in μB.
Sites, in units of the cell vectors:
Ni: 0.016 0.016 0.951  1.78
Ni: 0.519 0.519 0.444  1.77
O: 0.233 0.905 0.240  0.06
O: 0.621 0.233 0.240  0.06
O: 0.381 0.725 0.751  0.07
O: 0.905 0.621 0.241  0.06
O: 0.725 0.143 0.751  0.07
O: 0.143 0.381 0.751  0.07
Bi: 0.314 0.314 0.058  0.00
Y: 0.804 0.804 0.589  0.00

Properties
Volume in Å³/atom: 12.421

16.
ZnNiBiO4: relaxed, PBE with a Hubbard U.

abc: 6.252 6.336 6.336
angles: 62.63 60.44 60.44
Last column: magnetic moment on the atom in μB.
Sites, in units of the cell vectors:
O: 0.252 0.771 0.725  0.15
O: 0.252 0.225 0.271  0.15
O: 0.238 0.761 0.261  0.12
O: 0.260 0.239 0.739  0.12
O: 0.762 0.239 0.739  0.12
O: 0.748 0.775 0.729  0.15
O: 0.748 0.229 0.275  0.15
O: 0.740 0.761 0.261  0.12
Ni: 0.500 0.000 0.500  1.77
Ni: 0.000 0.000 0.500  1.77
Bi: 0.000 0.000 0.000  0.06
Bi: 0.000 0.500 0.500  0.06
Zn: 0.633 0.617 0.117  0.02
Zn: 0.367 0.383 0.883  0.02

Properties
Volume in Å³/atom: 12.995

17.
ZrNi2BiO6: relaxed, PBE with a Hubbard U.

abc: 5.420 5.419 5.744
angles: 61.85 61.85 60.00
Last column: magnetic moment on the atom in μB.
Sites, in units of the cell vectors:
O: 0.411 0.732 0.741  0.13
O: 0.117 0.411 0.741  0.13
O: 0.732 0.117 0.741  0.13
O: 0.647 0.221 0.249  0.22
O: 0.883 0.647 0.249  0.22
O: 0.221 0.883 0.249  0.22
Bi: 0.307 0.307 0.080  0.11
Ni: 0.518 0.518 0.447  1.79
Ni: 0.019 0.019 0.944  1.79
Zr: 0.809 0.809 0.574  0.05

Properties
Volume in Å³/atom: 12.251

Let's list electronic total energy in order: -5.934 -5.703 -5.652 -5.956 -6.248 -5.130 -5.359 -6.531 -4.746 -5.180 -6.773 -6.178 -6.531 -6.282 -6.135 -5.015 -6.400 eV/atom.
Let's list density in order: 7.55 8.80 5.92 7.76 8.83 6.83 8.46 8.40 8.44 8.92 8.04 8.49 4.77 7.60 6.84 7.25 6.96 g/cm³.